# CdPb2Cl2O2

An optimized crystal structure of CdPb2Cl2O2 (PBE, Alexandria).

Geometry as POSCAR:
```
CdPb2Cl2O2
1.0
3.898 0.000 0.000
-1.949 6.269 -0.223
-1.949 -2.066 6.738
Pb Cl O Cd
2 2 2 1
Cartesian
0.000 3.395 1.429 Pb
0.000 0.808 5.087 Pb
-1.949 3.689 4.601 Cl
1.949 0.513 1.915 Cl
1.949 4.143 0.302 O
-1.949 0.060 6.214 O
0.000 0.000 0.000 Cd
```

Properties
Total energy   -30.251 eV per cell
Formation energy without anion corrections   -1.1871 eV per atom